# 1
VASP calculation (GGA-PBE) on a geometry-optimized FeSb2Se structure.

a b c (Å): 4.518 4.518 8.441
angles (deg): 90.00 90.00 90.00
Space group I4/mmm (No. 139)
Symmetry-distinct sites (fractional):
Fe: 0.000 0.000 0.000
Sb: 0.000 0.500 0.250
Se: 0.000 0.000 0.500

Computed properties:
**Uncorrected formation energy**: 0.494 eV per atom
**Spin magnetization**: 0.597 μB/atom
**DOS at the Fermi energy**: 4.165 states/eV/f.u.

=====

# 2
VASP calculation (GGA-PBE) on a geometry-optimized FeSb2Se structure.

a b c (Å): 12.677 3.214 5.152
angles (deg): 90.00 113.95 90.00
Space group Cm (No. 8)
Symmetry-distinct sites (fractional):
Fe: 0.000 0.000 0.000
Sb: 0.022 0.500 0.417
Sb: 0.176 0.500 0.024
Se: 0.368 0.000 0.689

Computed properties:
**Uncorrected formation energy**: 0.082 eV per atom
**Spin magnetization**: 0.401 μB/atom
**DOS at the Fermi energy**: 2.973 states/eV/f.u.

=====

# 3
VASP calculation (GGA-PBE) on a geometry-optimized FeSb2Se structure.

a b c (Å): 7.222 7.230 3.271
angles (deg): 90.00 90.00 90.00
Space group Cmmm (No. 65)
Symmetry-distinct sites (fractional):
Fe: 0.000 0.000 0.000
Sb: 0.250 0.250 0.500
Se: 0.000 0.500 0.000

Computed properties:
**Uncorrected formation energy**: 0.473 eV per atom
**Spin magnetization**: 0.718 μB/atom
**DOS at the Fermi energy**: 4.694 states/eV/f.u.

=====

# 4
VASP calculation (GGA-PBE) on a geometry-optimized Fe3SbSe structure.

a b c (Å): 4.457 4.457 4.457
angles (deg): 90.00 90.00 90.00
Space group Pm-3m (No. 221)
Symmetry-distinct sites (fractional):
Fe: 0.000 0.000 0.500
Sb: 0.500 0.500 0.500
Se: 0.000 0.000 0.000

Computed properties:
**Uncorrected formation energy**: 0.624 eV per atom
**Excess energy over the best structure of this formula in the dataset**: 0 meV per atom
**Spin magnetization**: 1.306 μB/atom
**DOS at the Fermi energy**: 7.503 states/eV/f.u.

=====

Look up the spin magnetization of the third one.
0.718 μB/atom

=====

Which formula does entry 1 have?
FeSb2Se

=====

Which formula does entry 1 have?
FeSb2Se